Material: Ga6Ni12Ge
Method: DFT, GGA-PBE
State: relaxed

Structure (POSCAR):
```
Ga6Ni12Ge
1.0
-6.348 0.410 0.727
0.579 -2.138 -6.007
1.469 -5.176 3.470
Ga Ni Ge
6 12 1
Direct
0.828 0.550 0.826
0.550 0.826 0.828
0.174 0.172 0.450
0.172 0.450 0.174
0.826 0.828 0.550
0.450 0.174 0.172
0.255 0.744 0.001
0.999 0.745 0.256
0.001 0.255 0.744
0.813 0.422 0.419
0.187 0.578 0.581
0.745 0.256 0.999
0.422 0.419 0.813
0.581 0.187 0.578
0.578 0.581 0.187
0.419 0.813 0.422
0.744 0.001 0.255
0.256 0.999 0.745
0.000 0.000 0.000
```

Computed properties:
- space-group type = No. 148
- DFT formation energy (eV/f.u.) = -2.48
- calculated total energy (eV/cell) = -94.6

***

Material: YTi2HgN
Method: DFT, GGA-PBE
State: relaxed

Structure (POSCAR):
```
YTi2HgN
1.0
-0.900 1.823 -3.733
-0.327 -3.839 -1.796
-4.631 -0.104 1.066
Ti Y N Hg
2 1 1 1
Direct
0.500 0.000 0.000
0.000 0.500 0.000
0.000 0.000 0.500
0.000 0.000 0.000
0.500 0.500 0.500
```

Computed properties:
- formation energy from raw total energies (meV/atom) = -788
- space-group type = No. 123
- calculated total energy (eV/cell) = -34.8